{
  "formula": "MgAgHgF6",
  "functional": "GGA-PBE",
  "state": "optimized geometry",
  "cell": [[5.6788, 0.0000, 0.0000], [-2.8394, 4.9180, 0.0000], [0.0000, 0.0000, 9.2510]],
  "species": ["Mg", "Mg", "Ag", "Ag", "Hg", "Hg", "F", "F", "F", "F", "F", "F", "F", "F", "F", "F", "F", "F"],
  "frac_coords": [[0.3333, 0.6667, 0.2500], [0.6667, 0.3333, 0.7500], [0.0000, 0.0000, 0.0000], [0.0000, 0.0000, 0.5000], [0.3333, 0.6667, 0.7500], [0.6667, 0.3333, 0.2500], [0.0400, 0.3614, 0.1310], [0.0400, 0.6785, 0.3690], [0.3215, 0.3614, 0.3690], [0.3215, 0.9600, 0.1310], [0.3614, 0.0400, 0.6310], [0.3614, 0.3215, 0.8690], [0.6386, 0.6785, 0.1310], [0.6386, 0.9600, 0.3690], [0.6785, 0.0400, 0.8690], [0.6785, 0.6386, 0.6310], [0.9600, 0.3215, 0.6310], [0.9600, 0.6386, 0.8690]],
  "e_form_raw_kcal_per_mol_atoms": -45.2,
  "rho_g_cm3": 5.74,
  "spacegroup": "P-31c (163)"
}

***

{
  "formula": "MgAgHgF5",
  "functional": "GGA-PBE",
  "state": "optimized geometry",
  "cell": [[3.3671, -4.8836, 0.0000], [3.3671, 4.8836, 0.0000], [-2.5633, 0.0000, 7.5298]],
  "species": ["Mg", "Mg", "Ag", "Ag", "Hg", "Hg", "F", "F", "F", "F", "F", "F", "F", "F", "F", "F"],
  "frac_coords": [[0.0000, 0.0000, 0.0000], [0.0000, 0.0000, 0.5000], [0.3460, 0.6540, 0.7500], [0.6540, 0.3460, 0.2500], [0.2852, 0.7148, 0.2500], [0.7148, 0.2852, 0.7500], [0.0335, 0.9665, 0.2500], [0.1644, 0.7552, 0.5048], [0.2448, 0.8356, 0.9952], [0.2731, 0.3477, 0.0900], [0.3477, 0.2731, 0.5900], [0.6523, 0.7269, 0.4100], [0.7269, 0.6523, 0.9100], [0.7552, 0.1644, 0.0048], [0.8356, 0.2448, 0.4952], [0.9665, 0.0335, 0.7500]],
  "e_form_raw_kcal_per_mol_atoms": -47.4,
  "rho_g_cm3": 5.74,
  "spacegroup": "C2/c (15)"
}